(1)
Entry from the Alexandria database: a relaxed structure of Al2NiAu (PBEsol).

abc: 2.990 2.990 6.149
angles: 90.00 90.00 90.00
Atoms (fractional coordinates):
Al 0.000 0.000 0.219
Al 0.000 0.000 0.781
Ni 0.500 0.500 0.000
Au 0.500 0.500 0.500

Summary:
SG   P4/mmm (123)
M_tot   0.00 μB/f.u.
ΔE_f   -0.4901 eV/atom

(2)
Entry from the Alexandria database: a relaxed structure of NiRhSe (PBEsol).

abc: 4.043 4.043 4.043
angles: 60.00 60.00 60.00
Atoms (fractional coordinates):
Ni 0.000 0.000 0.000
Rh 0.250 0.250 0.250
Se 0.500 0.500 0.500

Summary:
Formation energy (no corrections)   0.333 eV/f.u.
SG   F-43m (216)
M_tot   0.04 μB/f.u.

(3)
Entry from the Alexandria database: a relaxed structure of BaScAg2 (PBEsol).

abc: 3.585 3.585 7.979
angles: 90.00 90.00 90.00
Atoms (fractional coordinates):
Ba 0.000 0.000 0.000
Sc 0.500 0.500 0.373
Ag 0.000 0.000 0.547
Ag 0.500 0.500 0.720

Summary:
SG   P4mm (99)
M_tot   0.00 μB/f.u.
Energy relative to the lowest polymorph listed for this composition   172 meV per atom
ΔE_f   -0.0064 eV/atom

(4)
Entry from the Alexandria database: a relaxed structure of LiHfIr2 (PBEsol).

abc: 4.369 4.369 4.369
angles: 60.00 60.00 60.00
Atoms (fractional coordinates):
Li 0.000 0.000 0.000
Hf 0.500 0.500 0.500
Ir 0.250 0.250 0.250
Ir 0.750 0.750 0.750

Summary:
SG   Fm-3m (225)
M_tot   0.00 μB/f.u.
ΔE_f   -0.6380 eV/atom

(5)
Entry from the Alexandria database: a relaxed structure of TiP2S6 (PBEsol).

abc: 11.907 11.184 6.832
angles: 78.68 67.08 34.24
Atoms (fractional coordinates):
Ti 0.000 0.000 0.000
Ti 0.250 0.250 0.250
P 0.117 0.210 0.010
P 0.210 0.117 0.663
P 0.240 0.587 0.133
P 0.587 0.240 0.040
S 0.001 0.473 0.070
S 0.080 0.577 0.371
S 0.180 0.795 0.249
S 0.181 0.668 0.860
S 0.278 0.879 0.673
S 0.390 0.958 0.069
S 0.473 0.001 0.455
S 0.577 0.080 0.972
S 0.668 0.181 0.292
S 0.795 0.180 0.777
S 0.879 0.278 0.170
S 0.958 0.390 0.582

Summary:
Formation energy (no corrections)   -5.276 eV/f.u.
SG   Fdd2 (43)
M_tot   0.00 μB/f.u.

(6)
Entry from the Alexandria database: a relaxed structure of Li2MnOF3 (PBEsol).

abc: 5.629 5.629 5.861
angles: 119.50 119.50 66.14
Atoms (fractional coordinates):
Li 0.000 0.000 0.000
Li 0.111 0.586 0.354
Li 0.582 0.582 0.325
Li 0.586 0.111 0.354
Mn 0.145 0.145 0.669
Mn 0.616 0.616 0.845
O 0.407 0.816 0.614
O 0.816 0.407 0.614
F 0.311 0.311 0.564
F 0.325 0.325 0.097
F 0.397 0.812 0.086
F 0.812 0.397 0.086
F 0.890 0.890 0.171
F 0.918 0.918 0.627

Summary:
Formation energy (no corrections)   -17.255 eV/f.u.
SG   Cm (8)
M_tot   4.00 μB/f.u.
Energy relative to the lowest polymorph listed for this composition   32 meV per atom

(7)
Entry from the Alexandria database: a relaxed structure of MgIn3 (PBEsol).

abc: 5.828 10.595 6.276
angles: 90.00 90.00 90.00
Atoms (fractional coordinates):
Mg 0.081 0.250 0.113
Mg 0.419 0.750 0.613
Mg 0.581 0.250 0.387
Mg 0.919 0.750 0.887
In 0.070 0.250 0.612
In 0.237 0.503 0.860
In 0.237 0.997 0.860
In 0.263 0.003 0.360
In 0.263 0.497 0.360
In 0.430 0.750 0.112
In 0.570 0.250 0.888
In 0.737 0.503 0.640
In 0.737 0.997 0.640
In 0.763 0.003 0.140
In 0.763 0.497 0.140
In 0.930 0.750 0.388

Summary:
SG   Pnma (62)
M_tot   0.00 μB/f.u.
ΔE_f   -0.0490 eV/atom

(8)
Entry from the Alexandria database: a relaxed structure of MgInHg (PBEsol).

abc: 6.742 6.742 6.742
angles: 152.14 152.14 39.80
Atoms (fractional coordinates):
Mg 0.000 0.000 0.000
In 0.674 0.674 0.000
Hg 0.352 0.352 0.000

Summary:
SG   I4mm (107)
M_tot   0.00 μB/f.u.
ΔE_f   -0.1409 eV/atom

(9)
Entry from the Alexandria database: a relaxed structure of Rb3GaMo (PBEsol).

abc: 6.576 6.576 6.576
angles: 90.00 90.00 90.00
Atoms (fractional coordinates):
Rb 0.000 0.000 0.500
Rb 0.000 0.500 0.000
Rb 0.500 0.000 0.000
Ga 0.000 0.000 0.000
Mo 0.500 0.500 0.500

Summary:
SG   Pm-3m (221)
M_tot   5.52 μB/f.u.
ΔE_f   1.3942 eV/atom

(10)
Entry from the Alexandria database: a relaxed structure of GaSnN2 (PBEsol).

abc: 6.315 6.315 6.315
angles: 29.03 29.03 29.03
Atoms (fractional coordinates):
Ga 0.000 0.000 0.000
Sn 0.500 0.500 0.500
N 0.388 0.388 0.388
N 0.612 0.612 0.612

Summary:
Formation energy (no corrections)   1.340 eV/f.u.
SG   R-3m (166)
M_tot   0.00 μB/f.u.
Energy relative to the lowest polymorph listed for this composition   0 meV per atom

(11)
Entry from the Alexandria database: a relaxed structure of MgTaIO2 (PBEsol).

abc: 3.969 3.969 5.107
angles: 90.00 90.00 90.00
Atoms (fractional coordinates):
Mg 0.000 0.000 0.000
Ta 0.500 0.500 0.500
I 0.000 0.000 0.500
O 0.000 0.500 0.000
O 0.500 0.000 0.000

Summary:
Formation energy (no corrections)   0.348 eV/f.u.
SG   P4/mmm (123)
M_tot   1.23 μB/f.u.

(12)
Entry from the Alexandria database: a relaxed structure of ZrCd2Os (PBEsol).

abc: 3.197 3.197 7.492
angles: 90.00 90.00 90.00
Atoms (fractional coordinates):
Zr 0.000 0.000 0.000
Cd 0.000 0.000 0.568
Cd 0.500 0.500 0.305
Os 0.500 0.500 0.807

Summary:
SG   P4mm (99)
M_tot   0.00 μB/f.u.
Energy relative to the lowest polymorph listed for this composition   0 meV per atom
ΔE_f   -0.0157 eV/atom

(13)
Entry from the Alexandria database: a relaxed structure of K2NaAsCl6 (PBEsol).

abc: 7.262 7.262 7.262
angles: 60.00 60.00 60.00
Atoms (fractional coordinates):
K 0.250 0.250 0.250
K 0.750 0.750 0.750
Na 0.000 0.000 0.000
As 0.500 0.500 0.500
Cl 0.260 0.260 0.740
Cl 0.260 0.740 0.260
Cl 0.260 0.740 0.740
Cl 0.740 0.260 0.260
Cl 0.740 0.260 0.740
Cl 0.740 0.740 0.260

Summary:
Formation energy (no corrections)   -13.933 eV/f.u.
SG   Fm-3m (225)
M_tot   0.00 μB/f.u.

(14)
Entry from the Alexandria database: a relaxed structure of AlCdTeI2 (PBEsol).

abc: 5.733 5.733 5.553
angles: 90.00 90.00 90.00
Atoms (fractional coordinates):
Al 0.000 0.000 0.000
Cd 0.500 0.500 0.500
Te 0.500 0.500 0.000
I 0.000 0.500 0.500
I 0.500 0.000 0.500

Summary:
Formation energy (no corrections)   1.076 eV/f.u.
SG   P4/mmm (123)
M_tot   0.00 μB/f.u.

(15)
Entry from the Alexandria database: a relaxed structure of Pr3IrO7 (PBEsol).

abc: 6.629 6.629 7.531
angles: 90.00 90.00 67.96
Atoms (fractional coordinates):
Pr 0.000 0.000 0.000
Pr 0.000 0.000 0.500
Pr 0.089 0.469 0.750
Pr 0.469 0.089 0.250
Pr 0.531 0.911 0.750
Pr 0.911 0.531 0.250
Ir 0.500 0.500 0.000
Ir 0.500 0.500 0.500
O 0.103 0.159 0.250
O 0.159 0.103 0.750
O 0.188 0.560 0.041
O 0.188 0.560 0.459
O 0.412 0.588 0.750
O 0.440 0.812 0.041
O 0.440 0.812 0.459
O 0.560 0.188 0.541
O 0.560 0.188 0.959
O 0.588 0.412 0.250
O 0.812 0.440 0.541
O 0.812 0.440 0.959
O 0.841 0.897 0.250
O 0.897 0.841 0.750

Summary:
Formation energy (no corrections)   -28.030 eV/f.u.
SG   Cmcm (63)
M_tot   1.95 μB/f.u.

(16)
Entry from the Alexandria database: a relaxed structure of TlIn2Hg (PBEsol).

abc: 3.497 5.386 5.430
angles: 90.00 90.00 90.00
Atoms (fractional coordinates):
Tl 0.000 0.000 0.000
In 0.000 0.500 0.500
In 0.500 0.500 0.000
Hg 0.500 0.000 0.500

Summary:
SG   Pmmm (47)
M_tot   0.00 μB/f.u.
ΔE_f   0.0081 eV/atom

(17)
Entry from the Alexandria database: a relaxed structure of CuSi4Se (PBEsol).

abc: 5.082 5.082 5.082
angles: 60.00 60.00 60.00
Atoms (fractional coordinates):
Cu 0.000 0.000 0.000
Si 0.123 0.626 0.626
Si 0.626 0.123 0.626
Si 0.626 0.626 0.123
Si 0.626 0.626 0.626
Se 0.250 0.250 0.250

Summary:
Formation energy (no corrections)   3.264 eV/f.u.
SG   F-43m (216)
M_tot   0.00 μB/f.u.

(18)
Entry from the Alexandria database: a relaxed structure of LaAsW (PBEsol).

abc: 6.066 6.066 6.066
angles: 148.22 148.22 45.55
Atoms (fractional coordinates):
La 0.000 0.000 0.000
As 0.702 0.702 0.000
W 0.298 0.298 0.000

Summary:
SG   I4mm (107)
M_tot   0.00 μB/f.u.
ΔE_f   -0.1272 eV/atom

(19)
Entry from the Alexandria database: a relaxed structure of YMg2Ti3S8 (PBEsol).

abc: 7.536 7.536 7.536
angles: 56.64 56.64 56.64
Atoms (fractional coordinates):
Y 0.000 0.000 0.000
Mg 0.368 0.368 0.368
Mg 0.632 0.632 0.632
Ti 0.000 0.000 0.500
Ti 0.000 0.500 0.000
Ti 0.500 0.000 0.000
S 0.229 0.745 0.745
S 0.240 0.240 0.240
S 0.255 0.255 0.771
S 0.255 0.771 0.255
S 0.745 0.229 0.745
S 0.745 0.745 0.229
S 0.760 0.760 0.760
S 0.771 0.255 0.255

Summary:
Formation energy (no corrections)   -20.743 eV/f.u.
SG   R-3m (166)
M_tot   0.00 μB/f.u.

(20)
Entry from the Alexandria database: a relaxed structure of Co5Cu (PBEsol).

abc: 4.543 4.543 4.543
angles: 60.00 60.00 60.00
Atoms (fractional coordinates):
Co 0.000 0.000 0.000
Co 0.125 0.625 0.625
Co 0.625 0.125 0.625
Co 0.625 0.625 0.125
Co 0.625 0.625 0.625
Cu 0.250 0.250 0.250

Summary:
SG   F-43m (216)
M_tot   8.45 μB/f.u.
Energy relative to the lowest polymorph listed for this composition   214 meV per atom
ΔE_f   0.2728 eV/atom